An optimized crystal structure of SrReRh2. Source: the Alexandria database, functional PBE-GGA.

```
SrReRh2
1.0
3.165 -3.838 0.000
3.165 3.838 0.000
0.000 0.000 2.865
Sr Re Rh
1 1 2
direct
0.000 0.000 0.000
0.500 0.500 0.000
0.000 0.500 0.500
0.500 0.000 0.500
```

Properties
* uncorrected energy: -6.7984 eV/atom
* energy relative to the elements: 0.410 eV per atom
* crystal system: orthorhombic
* energy above the lowest structure with this stoichiometry: 0.251 eV/atom


An optimized crystal structure of TmTl2InBr6. Source: the Alexandria database, functional PBE-GGA.

```
TmTl2InBr6
1.0
4.056 2.342 6.933
-4.056 2.342 6.933
0.000 -4.683 6.933
Tm Tl In Br
1 2 1 6
direct
0.000 0.000 0.000
0.304 0.304 0.304
0.794 0.794 0.794
0.509 0.509 0.509
0.122 0.331 0.765
0.204 0.887 0.661
0.331 0.765 0.122
0.661 0.204 0.887
0.765 0.122 0.331
0.887 0.661 0.204
```

Properties
* uncorrected energy: -3.4295 eV/atom
* crystal system: trigonal


An optimized crystal structure of Al2RhO. Source: the Alexandria database, functional PBE-GGA.

```
Al2RhO
1.0
-2.858 2.858 3.222
2.858 -2.858 3.222
2.858 2.858 -3.222
Al Rh O
4 2 2
direct
0.049 0.625 0.924
0.375 0.299 0.424
0.701 0.125 0.076
0.875 0.951 0.576
0.250 0.750 0.500
0.500 0.500 0.000
0.000 0.000 0.000
0.750 0.250 0.500
```

Properties
* uncorrected energy: -6.2066 eV/atom
* crystal system: tetragonal


How do the records compare in spin magnetization? In the order shown, they have 0.44 0.00 0.00 Bohr magnetons per cell.